(1)
This record from the Alexandria database describes CuW2Cl after structural relaxation. The functional is PBE-GGA.

Unit cell a=2.8782 b=4.6108 c=4.7642 alpha=90.00 beta=90.00 gamma=90.00
Space group Pmmm (No. 47)
Inequivalent atoms, fractional coordinates:
Cu (0.0000, 0.0000, 0.0000) (multiplicity 1)
W (0.0000, 0.5000, 0.5000) (multiplicity 1)
W (0.5000, 0.5000, 0.0000) (multiplicity 1)
Cl (0.5000, 0.0000, 0.5000) (multiplicity 1)

Output
As for the mass density: 12.257 g/cm3. The calculation puts the relative energy among the computed polymorphs at 0.576 eV per atom. The size of the total moment comes out at 0.0 μB per cell. As for the energy: -7.00 eV/atom. The value obtained for the volume is 15.81 A^3/atom.

(2)
This record from the Alexandria database describes CuW2Cl after structural relaxation. The functional is PBE-GGA.

Unit cell a=3.7463 b=3.7463 c=4.5873 alpha=90.00 beta=90.00 gamma=90.00
Space group P4/mmm (No. 123)
Inequivalent atoms, fractional coordinates:
Cu (0.0000, 0.0000, 0.0000) (multiplicity 1)
W (0.0000, 0.5000, 0.5000) (multiplicity 2)
Cl (0.5000, 0.5000, 0.0000) (multiplicity 1)

Output
As for the mass density: 12.037 g/cm3. The calculation puts the relative energy among the computed polymorphs at 0.848 eV per atom. The size of the total moment comes out at 0.0 μB per cell. As for the energy: -6.73 eV/atom. The value obtained for the volume is 16.10 A^3/atom.

(3)
This record from the Alexandria database describes Cu2WCl after structural relaxation. The functional is PBE-GGA.

Unit cell a=2.9131 b=2.9131 c=24.1751 alpha=90.00 beta=90.00 gamma=120.00
Space group R-3m (No. 166, hexagonal axes)
Inequivalent atoms, fractional coordinates:
Cu (0.0000, 0.0000, 0.2464) (multiplicity 6)
W (0.0000, 0.0000, 0.0000) (multiplicity 3)
Cl (0.0000, 0.0000, 0.5000) (multiplicity 3)

Output
As for the mass density: 9.712 g/cm3. The calculation puts the relative energy among the computed polymorphs at 0.011 eV per atom. The size of the total moment comes out at 0.0 μB per cell. As for the energy: -5.44 eV/atom. The value obtained for the volume is 14.81 A^3/atom.

(4)
This record from the Alexandria database describes CuWCl after structural relaxation. The functional is PBE-GGA.

Unit cell a=2.8817 b=2.8817 c=13.3800 alpha=90.00 beta=90.00 gamma=90.00
Space group I4mm (No. 107)
Inequivalent atoms, fractional coordinates:
Cu (0.0000, 0.0000, 0.0000) (multiplicity 2)
W (0.0000, 0.0000, 0.6211) (multiplicity 2)
Cl (0.0000, 0.0000, 0.2478) (multiplicity 2)

Output
As for the mass density: 8.454 g/cm3. The calculation puts the relative energy among the computed polymorphs at 0.138 eV per atom. The size of the total moment comes out at 0.0 μB per cell. As for the energy: -5.80 eV/atom. The value obtained for the volume is 18.52 A^3/atom.

(5)
This record from the Alexandria database describes CuW2Cl after structural relaxation. The functional is PBE-GGA.

Unit cell a=6.1284 b=6.1284 c=6.1284 alpha=90.00 beta=90.00 gamma=90.00
Space group Fm-3m (No. 225)
Inequivalent atoms, fractional coordinates:
Cu (0.0000, 0.0000, 0.0000) (multiplicity 4)
W (0.2500, 0.2500, 0.2500) (multiplicity 8)
Cl (0.0000, 0.0000, 0.5000) (multiplicity 4)

Output
As for the mass density: 13.468 g/cm3. The calculation puts the relative energy among the computed polymorphs at 0.666 eV per atom. The size of the total moment comes out at 0.0 μB per cell. As for the energy: -6.91 eV/atom. The value obtained for the volume is 14.39 A^3/atom.

(6)
This record from the Alexandria database describes CuW2Cl after structural relaxation. The functional is PBE-GGA.

Unit cell a=2.7295 b=4.0252 c=5.6143 alpha=90.00 beta=90.16 gamma=90.00
Space group P2/m (No. 10)
Inequivalent atoms, fractional coordinates:
Cu (0.0000, 0.0000, 0.0000) (multiplicity 1)
W (0.5003, 0.5000, 0.2399) (multiplicity 2)
Cl (0.5000, 0.0000, 0.5000) (multiplicity 1)

Output
As for the mass density: 12.563 g/cm3. The calculation puts the relative energy among the computed polymorphs at 0.424 eV per atom. The size of the total moment comes out at 0.0 μB per cell. As for the energy: -7.16 eV/atom. The value obtained for the volume is 15.42 A^3/atom.